LaMgAl: relaxed, GGA-PBE.

Lattice parameters (Å, degrees): 6.853 6.853 6.853 150.67 150.67 41.95
Element x y z (fractional)
La (0.000, 0.000, 0.000)
Mg (0.297, 0.297, 0.000)
Al (0.667, 0.667, 0.000)

## Properties
The value obtained for the formation energy is -0.50 eV per formula unit. For the theoretical density, the calculation gives 4.1 g cm⁻³. As for the space-group type: I4mm. As for the density of states at the Fermi level: 1.60 states/eV/f.u. The value obtained for the size of the total moment is 0.00 μB per formula unit.